The following is a DFT calculation (GGA-PBE) of an optimized crystal structure of Sr4Se3.

Calculated values
E above lowest polymorph = 0 meV/atom
ρ = 3.97 g cm⁻³
SG = No. 166
energy relative to the elements, uncorrected = -167.3 kJ per mole of atoms

Unit cell a=4.421 b=4.421 c=14.725 alpha=81.37 beta=81.37 gamma=60.00
Positions (direct):
Sr 0.375 0.375 0.875
Sr 0.126 0.126 0.622
Sr 0.874 0.874 0.378
Sr 0.625 0.625 0.125
Se 0.751 0.751 0.747
Se 0.249 0.249 0.253
Se 0.000 0.000 0.000